(1)
A relaxed structure of TiReBi2, computed with PBE.

Output
* energy of formation from the pure elements: 0.567 eV/atom
* ΔE to the lowest computed polymorph: 0 meV per atom
* V: 20.59 Å³/atom
* total moment: 5.54 Bohr magnetons per cell
* Fermi-level density of states: 1.416 states/eV per atom
* total energy: -103.344 eV per cell

Cell lengths 6.9061, 6.9061, 6.9061 Å; angles 90.00, 90.00, 90.00 degrees
Last column: nearest neighbours and their distance in Å.
Space group Fm-3m (No. 225)
Asymmetric unit:
1 Ti 0.0000 0.0000 0.0000 x4  8 Bi 2.99
2 Re 0.0000 0.0000 0.5000 x4  8 Bi 2.99
3 Bi 0.2500 0.2500 0.2500 x8  4 Re 2.99, 4 Ti 2.99

***

(2)
A relaxed structure of HoErNp2As4, computed with PBE.

Output
* energy of formation from the pure elements: -1.098 eV/atom
* V: 24.31 Å³/atom
* total moment: 7.65 Bohr magnetons per cell
* Fermi-level density of states: 2.322 states/eV per atom
* total energy: -62.405 eV per cell

Cell lengths 7.0890, 4.0912, 7.1089 Å; angles 90.00, 109.40, 90.00 degrees
Last column: nearest neighbours and their distance in Å.
Space group P2/m (No. 10)
Asymmetric unit:
1 Ho 0.0000 0.0000 0.0000 x1  6 As 2.90
2 Er 0.5000 0.5000 0.0000 x1  6 As 2.90
3 Np 0.0000 0.5000 0.5000 x1  6 As 2.90
4 Np 0.5000 0.0000 0.5000 x1  6 As 2.89
5 As 0.2505 0.0000 0.7497 x2  3 Np 2.89-2.90, 2 Er 2.90, 1 Ho 2.90
6 As 0.2508 0.5000 0.2507 x2  3 Np 2.89-2.90, 1 Er 2.90, 2 Ho 2.90

***

(3)
A relaxed structure of PaIn3Hg2I6, computed with PBE.

Output
* raw formation energy: -0.50 eV per atom
* V: 45.60 Å³/atom
* total moment: 2.50 Bohr magnetons per cell
* Fermi-level density of states: 0.696 states/eV per atom
* total energy: -67.281 eV per cell

Cell lengths 17.2816, 8.5560, 7.4730 Å; angles 90.00, 97.96, 90.00 degrees
Last column: nearest neighbours and their distance in Å.
Space group C2/m (No. 12)
Asymmetric unit:
1 Pa 0.0000 0.0000 0.0000 x2  6 I 3.06-3.07
2 In 0.0000 0.5000 0.5000 x2  2 Hg 3.01
3 In 0.2500 0.2500 0.0000 x4  2 Hg 3.14, 4 I 3.40-3.43
4 Hg 0.1460 0.5000 0.7713 x4  3 In 3.01-3.14
5 I 0.0938 0.2505 0.2315 x8  1 Pa 3.07, 1 In 3.40
6 I 0.1246 0.0000 0.7457 x4  1 Pa 3.06, 2 In 3.43

***

(4)
A relaxed structure of Li2LaTa, computed with PBE.

Output
* energy of formation from the pure elements: 0.500 eV/atom
* ΔE to the lowest computed polymorph: 158 meV per atom
* V: 22.25 Å³/atom
* total moment: 0.00 Bohr magnetons per cell
* Fermi-level density of states: 0.628 states/eV per atom
* total energy: -18.606 eV per cell

Cell lengths 2.9778, 4.7343, 6.3131 Å; angles 90.00, 90.00, 90.00 degrees
Last column: nearest neighbours and their distance in Å.
Space group Pmm2 (No. 25)
Asymmetric unit:
1 Li 0.0000 0.0000 0.0000 x1  6 Li 2.98-3.14, 2 Ta 3.00-3.31
2 Li 0.5000 0.5000 0.2259 x1  1 La 2.94, 6 Li 2.98-3.14, 4 Ta 3.21
3 La 0.5000 0.5000 0.6918 x1  1 Li 2.94, 2 La 2.98, 4 Ta 3.11
4 Ta 0.0000 0.0000 0.4754 x1  2 Ta 2.98, 6 Li 3.00-3.31, 4 La 3.11

***

(5)
A relaxed structure of Mn3ZnI9, computed with PBE.

Output
* raw formation energy: -0.37 eV per atom
* V: 46.54 Å³/atom
* total moment: 55.98 Bohr magnetons per cell
* Fermi-level density of states: 0.059 states/eV per atom
* total energy: -190.431 eV per cell

Cell lengths 21.6506, 8.3709, 15.2572 Å; angles 90.00, 118.92, 90.00 degrees
Last column: nearest neighbours and their distance in Å.
Space group Cc (No. 9)
Asymmetric unit:
1 Mn 0.0000 0.1466 0.0000 x4  4 I 2.60-2.74
2 Mn 0.1156 0.3233 0.3027 x4  4 I 2.59-2.71
3 Mn 0.2847 0.2911 0.8474 x4  4 I 2.71-2.75
4 Zn 0.2271 0.0063 0.0526 x4  4 I 2.63-2.70
5 I 0.0053 0.4271 0.3088 x4  1 Mn 2.59
6 I 0.0551 0.0579 0.1920 x4  2 Mn 2.68-2.71
7 I 0.1041 0.1490 0.9494 x4  1 Zn 2.64, 1 Mn 2.71
8 I 0.1593 0.4367 0.7261 x4  2 Mn 2.71-2.72
9 I 0.2348 0.2724 0.4784 x4  1 Zn 2.63, 1 Mn 2.71
10 I 0.2713 0.0092 0.7471 x4  1 Zn 2.65, 1 Mn 2.75
11 I 0.3167 0.2147 0.0371 x4  1 Zn 2.70, 1 Mn 2.71
12 I 0.3932 0.4678 0.8554 x4  2 Mn 2.73-2.74
13 I 0.4654 0.0534 0.4832 x4  1 Mn 2.60

***

(6)
A relaxed structure of Sn2IrPt, computed with PBE.

Output
* energy of formation from the pure elements: 0.088 eV/atom
* ΔE to the lowest computed polymorph: 141 meV per atom
* V: 20.40 Å³/atom
* total moment: 0.00 Bohr magnetons per cell
* Fermi-level density of states: 0.588 states/eV per atom
* total energy: -67.662 eV per cell

Cell lengths 3.1947, 3.1947, 27.6957 Å; angles 90.00, 90.00, 120.00 degrees
Last column: nearest neighbours and their distance in Å.
Space group R-3m (No. 166, hexagonal axes)
Asymmetric unit:
1 Sn 0.0000 0.0000 0.0936 x6  1 Pt 2.59, 3 Ir 2.74
2 Ir 0.0000 0.0000 0.5000 x3  6 Sn 2.74
3 Pt 0.0000 0.0000 0.0000 x3  2 Sn 2.59